Entry 1:
A relaxed Cr2CoHgPt crystal, computed with PBE.

Unit cell a=5.0167 b=5.0365 c=5.0167 alpha=90.00 beta=90.00 gamma=90.00
With the nearest neighbours (Å) after each atom.
Fractional coordinates of all 5 atoms:
Cr1 0.0000 0.0000 0.5000  2 Hg 2.51
Cr2 0.5000 0.0000 0.0000  2 Hg 2.51
Co1 0.5000 0.5000 0.5000  4 Pt 3.55, 8 Cr 3.55
Hg1 0.0000 0.0000 0.0000  4 Cr 2.51, 2 Pt 2.52
Pt1 0.0000 0.5000 0.0000  2 Hg 2.52

Calculated total energy   -23.5 eV for the cell shown
Calculated formation energy   9.19 eV/f.u.

Entry 2:
A relaxed Cs2HgSeO4 crystal, computed with PBE.

Unit cell a=6.6655 b=6.6655 c=6.6655 alpha=109.73 beta=109.34 gamma=109.34
With the nearest neighbours (Å) after each atom.
Fractional coordinates of all 8 atoms:
Cs1 0.5000 0.7500 0.2500  4 O 2.96
Cs2 0.0000 0.0000 0.0000  4 O 3.16
Hg1 0.5000 0.2500 0.7500  4 O 3.44, 2 Cs 3.84
Se1 0.0000 0.5000 0.5000  4 O 1.68
O1 0.7552 0.5322 0.4803  1 Se 1.68
O2 0.9480 0.2230 0.4678  1 Se 1.68
O3 0.0520 0.5197 0.2749  1 Se 1.68
O4 0.2448 0.7251 0.7770  1 Se 1.68

ΔE_f (raw)   -1.14 eV/atom
Calculated total energy   -34.4 eV for the cell shown